A plane-wave DFT calculation with PBE was carried out for crystalline La7Tb12Tm at its relaxed geometry.

Lattice parameters (Å, degrees): 8.867 8.867 8.867 86.21 86.21 86.21
Atoms (fractional coordinates):
1 La 0.000 0.000 0.000
2 La 0.104 0.339 0.414
3 La 0.339 0.414 0.104
4 La 0.414 0.104 0.339
5 La 0.586 0.896 0.661
6 La 0.661 0.586 0.896
7 La 0.896 0.661 0.586
8 Tb 0.002 0.364 0.883
9 Tb 0.117 0.998 0.636
10 Tb 0.229 0.749 0.357
11 Tb 0.251 0.643 0.771
12 Tb 0.357 0.229 0.749
13 Tb 0.364 0.883 0.002
14 Tb 0.636 0.117 0.998
15 Tb 0.643 0.771 0.251
16 Tb 0.749 0.357 0.229
17 Tb 0.771 0.251 0.643
18 Tb 0.883 0.002 0.364
19 Tb 0.998 0.636 0.117
20 Tm 0.500 0.500 0.500

Values from the calculation:
energy of formation from the pure elements: 0.218 eV/atom
DFT total energy: -4.508 eV/atom